(1)
Material: BiPb6
Method: DFT, PBE
State: optimized geometry

```
data_BiPb6
_cell_length_a 14.9795
_cell_length_b 14.9795
_cell_length_c 3.4343
_cell_angle_alpha 90.00
_cell_angle_beta 90.00
_cell_angle_gamma 120.00
_symmetry_space_group_name_H-M 'R -3'
_symmetry_Int_Tables_number 148
_symmetry_space_group_name_Hall '-R 3'
loop_
_atom_site_label
_atom_site_type_symbol
_atom_site_fract_x
_atom_site_fract_y
_atom_site_fract_z
_atom_site_occupancy
Bi1 Bi 0.0000 0.0000 0.0000 1
Pb1 Pb 0.0435 0.8095 0.7302 1
```

Relative energy among the computed polymorphs   0 meV per atom
DOS at the Fermi energy   12.8 states/eV per cell
Calculated total energy   -77.39 eV/cell
Energy of formation   48 meV/atom


(2)
Material: Na2DyC2O6
Method: DFT, PBE
State: optimized geometry

```
data_Na2DyC2O6
_cell_length_a 5.1704
_cell_length_b 5.1704
_cell_length_c 7.6850
_cell_angle_alpha 90.00
_cell_angle_beta 90.00
_cell_angle_gamma 120.00
_symmetry_space_group_name_H-M 'P -3'
_symmetry_Int_Tables_number 147
loop_
_symmetry_equiv_pos_as_xyz
'x,y,z'
'-x,-y,-z'
'-y,x-y,z'
'y,-x+y,-z'
'-x+y,-x,z'
'x-y,x,-z'
loop_
_atom_site_label
_atom_site_type_symbol
_atom_site_fract_x
_atom_site_fract_y
_atom_site_fract_z
_atom_site_occupancy
Na1 Na 0.3333 0.6667 0.3314 1
Dy1 Dy 0.0000 0.0000 0.0000 1
C1 C 0.3333 0.6667 0.8354 1
O1 O 0.0999 0.4013 0.8323 1
```

DOS at the Fermi energy   1.8 states/eV per cell
Calculated total energy   -75.93 eV/cell
ΔE_f (raw)   -1.863 eV/atom


(3)
Material: YBe3Fe
Method: DFT, PBE
State: optimized geometry

```
data_YBe3Fe
_cell_length_a 4.6906
_cell_length_b 4.6906
_cell_length_c 4.6906
_cell_angle_alpha 90.00
_cell_angle_beta 90.00
_cell_angle_gamma 90.00
_symmetry_space_group_name_H-M 'P m -3 m'
_symmetry_Int_Tables_number 221
_symmetry_space_group_name_Hall '-P 4 2 3'
loop_
_atom_site_label
_atom_site_type_symbol
_atom_site_fract_x
_atom_site_fract_y
_atom_site_fract_z
_atom_site_occupancy
Y1 Y 0.0000 0.0000 0.0000 1
Be1 Be 0.0000 0.0000 0.5000 1
Fe1 Fe 0.5000 0.5000 0.5000 1
```

Relative energy among the computed polymorphs   2571 meV per atom
DOS at the Fermi energy   17.3 states/eV per cell
Calculated total energy   -13.23 eV/cell
Energy of formation   2576 meV/atom